Pr6Ir2SI3 | GGA-PBE | optimized geometry

Lattice parameters (Å, degrees): 7.4199 7.4199 8.4153 98.43 98.43 119.92
Last column: nearest neighbours and their distance in Å.
Fractional coordinates of all 12 atoms:
Ir1 0.3331 0.6669 0.0000  6 Pr 2.85
Ir2 0.6669 0.3331 0.0000  6 Pr 2.85
Pr1 0.4105 0.0627 0.1870  2 Ir 2.85, 1 S 2.99
Pr2 0.5895 0.9373 0.8130  2 Ir 2.85, 1 S 2.99
Pr3 0.2858 0.2858 0.8131  2 Ir 2.85, 1 S 2.99
Pr4 0.9373 0.5895 0.8130  2 Ir 2.85, 1 S 2.99
Pr5 0.7142 0.7142 0.1869  2 Ir 2.85, 1 S 2.99
Pr6 0.0627 0.4105 0.1870  2 Ir 2.85, 1 S 2.99
I1 0.5000 0.5000 0.5000  6 Pr 3.45-3.57
I2 0.1646 0.8354 0.5000  6 Pr 3.47-3.57
I3 0.8354 0.1646 0.5000  6 Pr 3.47-3.57
S1 0.0000 0.0000 0.0000  6 Pr 2.99

energy relative to the elements, uncorrected: -1.128 eV/atom